No. 1
{
  "formula": "MgZrRu2",
  "functional": "GGA-PBE",
  "state": "optimized geometry",
  "cell": [[-3.519, 3.519, 2.886], [3.519, -3.519, 2.886], [3.519, 3.519, -2.886]],
  "species": ["Mg", "Mg", "Zr", "Zr", "Ru", "Ru", "Ru", "Ru"],
  "fractional_positions": [[0.000, 0.000, 0.000], [0.750, 0.250, 0.500], [0.250, 0.750, 0.500], [0.500, 0.500, 0.000], [0.127, 0.125, 0.502], [0.375, 0.873, 0.998], [0.623, 0.625, 0.498], [0.875, 0.377, 0.002]],
  "crystal_system": "tetragonal",
  "magmom_total_mub_per_fu": 0.00,
  "dft_energy_ha_per_atom": -0.251,
  "vol_a3_per_atom": 17.9,
  "dos_ef_per_ev_cell": 10.26
}

No. 2
{
  "formula": "MgZrRu2",
  "functional": "GGA-PBE",
  "state": "optimized geometry",
  "cell": [[4.477, 0.000, 0.000], [0.000, 4.477, 0.000], [0.000, 0.000, 3.277]],
  "species": ["Mg", "Zr", "Ru", "Ru"],
  "fractional_positions": [[0.000, 0.000, 0.000], [0.500, 0.500, 0.000], [0.000, 0.500, 0.500], [0.500, 0.000, 0.500]],
  "crystal_system": "tetragonal",
  "magmom_total_mub_per_fu": 0.00,
  "dft_energy_ha_per_atom": -0.274,
  "vol_a3_per_atom": 16.4,
  "dos_ef_per_ev_cell": 5.85
}

No. 3
{
  "formula": "MgZrRu2",
  "functional": "GGA-PBE",
  "state": "optimized geometry",
  "cell": [[4.522, -1.618, 0.000], [4.522, 1.618, 0.000], [-1.918, 0.000, 4.602]],
  "species": ["Mg", "Zr", "Ru", "Ru"],
  "fractional_positions": [[0.000, 0.000, 0.000], [0.500, 0.500, 0.500], [0.248, 0.248, 0.771], [0.752, 0.752, 0.229]],
  "crystal_system": "monoclinic",
  "magmom_total_mub_per_fu": 0.00,
  "dft_energy_ha_per_atom": -0.266,
  "vol_a3_per_atom": 16.8,
  "dos_ef_per_ev_cell": 3.21
}

No. 4
{
  "formula": "MgZr5Ru4",
  "functional": "GGA-PBE",
  "state": "optimized geometry",
  "cell": [[3.287, 0.000, 0.000], [0.000, 3.287, 0.000], [0.000, 0.000, 16.990]],
  "species": ["Mg", "Zr", "Zr", "Zr", "Zr", "Zr", "Ru", "Ru", "Ru", "Ru"],
  "fractional_positions": [[0.000, 0.000, 0.000], [0.500, 0.500, 0.115], [0.500, 0.500, 0.307], [0.500, 0.500, 0.500], [0.500, 0.500, 0.693], [0.500, 0.500, 0.885], [0.000, 0.000, 0.210], [0.000, 0.000, 0.404], [0.000, 0.000, 0.596], [0.000, 0.000, 0.790]],
  "crystal_system": "tetragonal",
  "magmom_total_mub_per_fu": 0.00,
  "dft_energy_ha_per_atom": -0.317,
  "vol_a3_per_atom": 18.4,
  "dos_ef_per_ev_cell": 3.75
}

No. 5
{
  "formula": "MgZrRu2",
  "functional": "GGA-PBE",
  "state": "optimized geometry",
  "cell": [[3.242, 0.000, 0.000], [0.000, 3.242, 0.000], [0.000, 0.000, 6.272]],
  "species": ["Mg", "Zr", "Ru", "Ru"],
  "fractional_positions": [[0.000, 0.000, 0.000], [0.000, 0.000, 0.500], [0.500, 0.500, 0.246], [0.500, 0.500, 0.754]],
  "crystal_system": "tetragonal",
  "magmom_total_mub_per_fu": 0.00,
  "dft_energy_ha_per_atom": -0.274,
  "vol_a3_per_atom": 16.5,
  "dos_ef_per_ev_cell": 5.44
}

No. 6
{
  "formula": "MgZrRu2",
  "functional": "GGA-PBE",
  "state": "optimized geometry",
  "cell": [[-1.901, 1.901, 4.594], [1.901, -1.901, 4.594], [1.901, 1.901, -4.594]],
  "species": ["Mg", "Zr", "Ru", "Ru"],
  "fractional_positions": [[0.000, 0.000, 0.000], [0.750, 0.250, 0.500], [0.250, 0.750, 0.500], [0.500, 0.500, 0.000]],
  "crystal_system": "tetragonal",
  "magmom_total_mub_per_fu": 0.00,
  "dft_energy_ha_per_atom": -0.267,
  "vol_a3_per_atom": 16.6,
  "dos_ef_per_ev_cell": 4.98
}

No. 7
{
  "formula": "Mg2Zr2Ru",
  "functional": "GGA-PBE",
  "state": "optimized geometry",
  "cell": [[-1.784, 1.784, 8.357], [1.784, -1.784, 8.357], [1.784, 1.784, -8.357]],
  "species": ["Mg", "Mg", "Zr", "Zr", "Ru"],
  "fractional_positions": [[0.250, 0.750, 0.500], [0.750, 0.250, 0.500], [0.087, 0.087, 0.000], [0.913, 0.913, 0.000], [0.500, 0.500, 0.000]],
  "crystal_system": "tetragonal",
  "magmom_total_mub_per_fu": 0.00,
  "dft_energy_ha_per_atom": -0.204,
  "vol_a3_per_atom": 21.3,
  "dos_ef_per_ev_cell": 5.37
}

No. 8
{
  "formula": "MgZr2Ru",
  "functional": "GGA-PBE",
  "state": "optimized geometry",
  "cell": [[3.283, 0.000, 0.000], [0.000, 3.283, 0.000], [0.000, 0.000, 7.354]],
  "species": ["Mg", "Zr", "Zr", "Ru"],
  "fractional_positions": [[0.000, 0.000, 0.000], [0.000, 0.000, 0.415], [0.500, 0.500, 0.696], [0.500, 0.500, 0.218]],
  "crystal_system": "tetragonal",
  "magmom_total_mub_per_fu": 0.00,
  "dft_energy_ha_per_atom": -0.264,
  "vol_a3_per_atom": 19.8,
  "dos_ef_per_ev_cell": 2.67
}

No. 9
{
  "formula": "Mg2Zr2Ru",
  "functional": "GGA-PBE",
  "state": "optimized geometry",
  "cell": [[6.662, 0.000, 0.000], [0.000, 6.662, 0.000], [0.000, 0.000, 5.135]],
  "species": ["Mg", "Mg", "Mg", "Mg", "Zr", "Zr", "Zr", "Zr", "Ru", "Ru"],
  "fractional_positions": [[0.162, 0.338, 0.000], [0.338, 0.838, 0.000], [0.662, 0.162, 0.000], [0.838, 0.662, 0.000], [0.156, 0.656, 0.500], [0.344, 0.156, 0.500], [0.656, 0.844, 0.500], [0.844, 0.344, 0.500], [0.000, 0.000, 0.500], [0.500, 0.500, 0.500]],
  "crystal_system": "tetragonal",
  "magmom_total_mub_per_fu": 0.00,
  "dft_energy_ha_per_atom": -0.210,
  "vol_a3_per_atom": 22.8,
  "dos_ef_per_ev_cell": 6.21
}

No. 10
{
  "formula": "MgZr4Ru",
  "functional": "GGA-PBE",
  "state": "optimized geometry",
  "cell": [[0.000, 4.011, 4.011], [4.011, 0.000, 4.011], [4.011, 4.011, 0.000]],
  "species": ["Mg", "Zr", "Zr", "Zr", "Zr", "Ru"],
  "fractional_positions": [[0.000, 0.000, 0.000], [0.377, 0.377, 0.377], [0.377, 0.377, 0.870], [0.377, 0.870, 0.377], [0.870, 0.377, 0.377], [0.750, 0.750, 0.750]],
  "crystal_system": "cubic",
  "magmom_total_mub_per_fu": 0.00,
  "dft_energy_ha_per_atom": -0.260,
  "vol_a3_per_atom": 21.5,
  "dos_ef_per_ev_cell": 6.84
}

No. 11
{
  "formula": "MgZr2Ru",
  "functional": "GGA-PBE",
  "state": "optimized geometry",
  "cell": [[1.726, -2.490, 0.000], [1.726, 2.490, 0.000], [0.000, 0.000, 9.351]],
  "species": ["Mg", "Zr", "Zr", "Ru"],
  "fractional_positions": [[0.000, 0.000, 0.000], [0.000, 0.000, 0.427], [0.500, 0.500, 0.712], [0.500, 0.500, 0.222]],
  "crystal_system": "orthorhombic",
  "magmom_total_mub_per_fu": 0.00,
  "dft_energy_ha_per_atom": -0.257,
  "vol_a3_per_atom": 20.1,
  "dos_ef_per_ev_cell": 3.66
}

No. 12
{
  "formula": "MgZrRu2",
  "functional": "GGA-PBE",
  "state": "optimized geometry",
  "cell": [[2.984, 0.000, 0.000], [0.000, 4.120, 0.000], [0.000, 0.000, 5.466]],
  "species": ["Mg", "Zr", "Ru", "Ru"],
  "fractional_positions": [[0.000, 0.000, 0.000], [0.500, 0.500, 0.699], [0.000, 0.000, 0.472], [0.500, 0.500, 0.222]],
  "crystal_system": "orthorhombic",
  "magmom_total_mub_per_fu": 0.00,
  "dft_energy_ha_per_atom": -0.264,
  "vol_a3_per_atom": 16.8,
  "dos_ef_per_ev_cell": 3.92
}

> What is the formula in the fourth record?

MgZr5Ru4